The following is a DFT calculation (PBE-GGA) of a relaxed structure of RuI.

a b c (Å): 8.4716 8.4716 8.4716
angles (deg): 93.06 93.06 153.29
Fractional positions:
Ru 0.0727 0.5822 0.6550
Ru 0.4178 0.0727 0.4904
Ru 0.5822 0.9273 0.5095
Ru 0.9273 0.4178 0.3451
I 0.2399 0.4250 0.6650
I 0.4250 0.7601 0.1851
I 0.5750 0.2399 0.8149
I 0.7601 0.5750 0.3350

Raw formation energy   233 meV per atom
Spin magnetization   0.00 μB per cell
Polymorph energy (0 for the lowest one)   0.0 kJ/mol of formula units
Space group   No. 87

The following is a DFT calculation (PBE-GGA) of a relaxed structure of Tb12Ce2Er5.

a b c (Å): 8.9773 8.9773 8.5951
angles (deg): 92.12 92.12 61.36
Fractional positions:
Tb 0.0605 0.0605 0.3436
Tb 0.0607 0.6749 0.3132
Tb 0.1747 0.5332 0.7629
Tb 0.3251 0.9393 0.6868
Tb 0.4311 0.4311 0.1264
Tb 0.4668 0.8253 0.2371
Tb 0.5332 0.1747 0.7629
Tb 0.5689 0.5689 0.8736
Tb 0.6749 0.0607 0.3132
Tb 0.8253 0.4668 0.2371
Tb 0.9393 0.3251 0.6868
Tb 0.9395 0.9395 0.6564
Ce 0.1486 0.8514 0.0000
Ce 0.8514 0.1486 0.0000
Er 0.2129 0.2129 0.0402
Er 0.2694 0.2694 0.4347
Er 0.5000 0.5000 0.5000
Er 0.7306 0.7306 0.5653
Er 0.7871 0.7871 0.9598

Energy of formation from the pure elements   0.141 eV per atom
Spin magnetization   0.93 μB per cell
Space group   No. 12

The following is a DFT calculation (PBE-GGA) of a relaxed structure of BaTePt2.

a b c (Å): 4.3924 4.8266 5.5571
angles (deg): 90.00 90.00 90.00
Fractional positions:
Ba 0.0000 0.0000 0.0000
Te 0.0000 0.5000 0.5000
Pt 0.5000 0.5000 0.2333
Pt 0.5000 0.5000 0.7667

Raw formation energy   -651 meV per atom
Spin magnetization   0.00 μB per cell
Space group   No. 47

The following is a DFT calculation (PBE-GGA) of a relaxed structure of AlTe3Se.

a b c (Å): 5.2820 5.2820 5.2820
angles (deg): 90.00 90.00 90.00
Fractional positions:
Al 0.0000 0.0000 0.0000
Te 0.0000 0.0000 0.5000
Te 0.0000 0.5000 0.0000
Te 0.5000 0.0000 0.0000
Se 0.5000 0.5000 0.5000

Raw formation energy   451 meV per atom
Spin magnetization   0.00 μB per cell
Polymorph energy (0 for the lowest one)   0.0 kJ/mol of formula units
Space group   No. 221

The following is a DFT calculation (PBE-GGA) of a relaxed structure of La2MgCu6.

a b c (Å): 5.8483 5.8483 5.6762
angles (deg): 90.03 90.03 60.12
Fractional positions:
La 0.1668 0.1668 0.3405
La 0.8332 0.8332 0.6595
Mg 0.5000 0.5000 0.5000
Cu 0.1271 0.6867 0.1492
Cu 0.3133 0.8729 0.8508
Cu 0.3146 0.3146 0.8519
Cu 0.6854 0.6854 0.1481
Cu 0.6867 0.1271 0.1492
Cu 0.8729 0.3133 0.8508

Energy of formation from the pure elements   -0.094 eV per atom
Spin magnetization   0.00 μB per cell
Space group   No. 12

The following is a DFT calculation (PBE-GGA) of a relaxed structure of ThPaRu2.

a b c (Å): 4.9291 4.9291 4.9291
angles (deg): 60.00 60.00 60.00
Fractional positions:
Th 0.0000 0.0000 0.0000
Pa 0.5000 0.5000 0.5000
Ru 0.2500 0.2500 0.2500
Ru 0.7500 0.7500 0.7500

Energy of formation from the pure elements   -0.317 eV per atom
Spin magnetization   0.00 μB per cell
Space group   No. 225

The following is a DFT calculation (PBE-GGA) of a relaxed structure of HfPa3N6.

a b c (Å): 7.2240 7.2240 5.6341
angles (deg): 90.00 90.00 100.89
Fractional positions:
Hf 0.1588 0.8412 0.5000
Hf 0.8412 0.1588 0.0000
Pa 0.0890 0.3127 0.5188
Pa 0.3127 0.0890 0.0188
Pa 0.3921 0.6079 0.0680
Pa 0.6079 0.3921 0.5680
Pa 0.6873 0.9110 0.5188
Pa 0.9110 0.6873 0.0188
N 0.0217 0.9783 0.2215
N 0.1016 0.5900 0.3125
N 0.2197 0.7803 0.8588
N 0.3338 0.3574 0.7920
N 0.3574 0.3338 0.2920
N 0.4100 0.8984 0.3125
N 0.5900 0.1016 0.8125
N 0.6426 0.6662 0.7920
N 0.6662 0.6426 0.2920
N 0.7803 0.2197 0.3588
N 0.8984 0.4100 0.8125
N 0.9783 0.0217 0.7215

Raw formation energy   -1679 meV per atom
Spin magnetization   0.00 μB per cell
Polymorph energy (0 for the lowest one)   0.0 kJ/mol of formula units
Space group   No. 36

The following is a DFT calculation (PBE-GGA) of a relaxed structure of Be2NiCl.

a b c (Å): 2.7683 2.9604 5.9387
angles (deg): 90.00 90.00 90.00
Fractional positions:
Be 0.0000 0.0000 0.1892
Be 0.0000 0.0000 0.8108
Ni 0.5000 0.5000 0.0000
Cl 0.5000 0.0000 0.5000

Raw formation energy   -80 meV per atom
Spin magnetization   0.00 μB per cell
Polymorph energy (0 for the lowest one)   20.1 kJ/mol of formula units
Space group   No. 47

The following is a DFT calculation (PBE-GGA) of a relaxed structure of Al2Ag.

a b c (Å): 2.8854 2.8854 12.1721
angles (deg): 90.00 90.00 90.00
Fractional positions:
Al 0.0000 0.0000 0.0000
Al 0.0000 0.0000 0.3273
Al 0.0000 0.0000 0.6727
Al 0.5000 0.5000 0.5000
Ag 0.5000 0.5000 0.1634
Ag 0.5000 0.5000 0.8366

Energy of formation from the pure elements   0.001 eV per atom
Spin magnetization   0.00 μB per cell
Space group   No. 123

The following is a DFT calculation (PBE-GGA) of a relaxed structure of CaRe3Rh.

a b c (Å): 4.4984 4.4984 4.4984
angles (deg): 90.00 90.00 90.00
Fractional positions:
Ca 0.0000 0.0000 0.0000
Re 0.0000 0.0000 0.5000
Re 0.0000 0.5000 0.0000
Re 0.5000 0.0000 0.0000
Rh 0.5000 0.5000 0.5000

Energy of formation from the pure elements   3.214 eV per atom
Spin magnetization   0.00 μB per cell
Polymorph energy (0 for the lowest one)   686.2 kJ/mol of formula units
Space group   No. 221

The following is a DFT calculation (PBE-GGA) of a relaxed structure of LaMg4In4.

a b c (Å): 6.9076 6.9076 9.8723
angles (deg): 90.00 90.00 90.00
Fractional positions:
La 0.2500 0.7500 0.2500
La 0.7500 0.2500 0.7500
Mg 0.0247 0.2500 0.1666
Mg 0.2500 0.0247 0.6666
Mg 0.2500 0.4753 0.6666
Mg 0.4753 0.2500 0.1666
Mg 0.5247 0.7500 0.8334
Mg 0.7500 0.5247 0.3334
Mg 0.7500 0.9753 0.3334
Mg 0.9753 0.7500 0.8334
In 0.0299 0.2500 0.4608
In 0.2500 0.0299 0.9608
In 0.2500 0.4701 0.9608
In 0.4701 0.2500 0.4608
In 0.5299 0.7500 0.5392
In 0.7500 0.5299 0.0392
In 0.7500 0.9701 0.0392
In 0.9701 0.7500 0.5392

Energy of formation from the pure elements   -0.131 eV per atom
Spin magnetization   0.00 μB per cell
Space group   No. 137

The following is a DFT calculation (PBE-GGA) of a relaxed structure of Nb2VZnFe.

a b c (Å): 4.6965 4.6965 4.2829
angles (deg): 90.00 90.00 90.00
Fractional positions:
Nb 0.0000 0.5000 0.0000
Nb 0.5000 0.0000 0.0000
V 0.0000 0.0000 0.5000
Zn 0.0000 0.0000 0.0000
Fe 0.5000 0.5000 0.5000

Energy of formation from the pure elements   1.665 eV per atom
Spin magnetization   0.02 μB per cell
Space group   No. 123

The following is a DFT calculation (PBE-GGA) of a relaxed structure of RbNaCr2.

a b c (Å): 5.7956 5.7956 5.7956
angles (deg): 60.00 60.00 60.00
Fractional positions:
Rb 0.0000 0.0000 0.0000
Na 0.5000 0.5000 0.5000
Cr 0.2500 0.2500 0.2500
Cr 0.7500 0.7500 0.7500

Energy of formation from the pure elements   1.295 eV per atom
Spin magnetization   10.21 μB per cell
Polymorph energy (0 for the lowest one)   0.0 kJ/mol of formula units
Space group   No. 225

The following is a DFT calculation (PBE-GGA) of a relaxed structure of TaAlPt2.

a b c (Å): 4.0044 4.0044 3.9648
angles (deg): 90.00 90.00 90.00
Fractional positions:
Ta 0.0000 0.0000 0.0000
Al 0.5000 0.5000 0.0000
Pt 0.0000 0.5000 0.5000
Pt 0.5000 0.0000 0.5000

Energy of formation from the pure elements   -0.561 eV per atom
Spin magnetization   0.37 μB per cell
Space group   No. 123

The following is a DFT calculation (PBE-GGA) of a relaxed structure of AcDyHo2Sb4.

a b c (Å): 7.7673 4.4893 7.7696
angles (deg): 90.00 109.44 90.00
Fractional positions:
Ac 0.0000 0.0000 0.0000
Dy 0.0000 0.5000 0.5000
Ho 0.5000 0.0000 0.5000
Ho 0.5000 0.5000 0.0000
Sb 0.2588 0.0000 0.7427
Sb 0.2669 0.5000 0.2662
Sb 0.7331 0.5000 0.7338
Sb 0.7412 0.0000 0.2573

Raw formation energy   -1109 meV per atom
Spin magnetization   0.00 μB per cell
Space group   No. 10

The following is a DFT calculation (PBE-GGA) of a relaxed structure of Mg7Ag4Pb.

a b c (Å): 7.4437 7.4437 8.8378
angles (deg): 123.13 123.13 41.15
Fractional positions:
Mg 0.0000 0.0000 0.0000
Mg 0.2313 0.2313 0.6955
Mg 0.2911 0.2911 0.1214
Mg 0.4281 0.4281 0.5883
Mg 0.5719 0.5719 0.4117
Mg 0.7089 0.7089 0.8786
Mg 0.7687 0.7687 0.3045
Ag 0.0486 0.0486 0.7224
Ag 0.1891 0.1891 0.3547
Ag 0.8109 0.8109 0.6453
Ag 0.9514 0.9514 0.2776
Pb 0.5000 0.5000 0.0000

Energy of formation from the pure elements   -0.013 eV per atom
Spin magnetization   0.00 μB per cell
Space group   No. 12

The following is a DFT calculation (PBE-GGA) of a relaxed structure of LiPaAgO4.

a b c (Å): 6.5467 6.5467 6.5467
angles (deg): 121.55 112.37 95.51
Fractional positions:
Li 0.3807 0.1307 0.2500
Li 0.6193 0.8693 0.7500
Pa 0.0000 0.5000 0.5000
Pa 0.5000 0.5000 0.0000
Ag 0.0000 0.0000 0.5000
Ag 0.0000 0.5000 0.0000
O 0.2446 0.2742 0.5296
O 0.2446 0.7151 0.9704
O 0.2468 0.7311 0.5157
O 0.2845 0.2689 0.0157
O 0.7155 0.7311 0.9843
O 0.7532 0.2689 0.4843
O 0.7554 0.2849 0.0296
O 0.7554 0.7258 0.4704

Raw formation energy   -2141 meV per atom
Spin magnetization   1.22 μB per cell
Space group   No. 74

The following is a DFT calculation (PBE-GGA) of a relaxed structure of Nd8Tl2Pt.

a b c (Å): 10.1703 10.1703 6.9984
angles (deg): 103.95 103.95 29.55
Fractional positions:
Nd 0.0164 0.0164 0.2800
Nd 0.2110 0.2110 0.8214
Nd 0.3508 0.3508 0.5083
Nd 0.4099 0.4099 0.0401
Nd 0.5901 0.5901 0.9599
Nd 0.6492 0.6492 0.4917
Nd 0.7890 0.7890 0.1786
Nd 0.9836 0.9836 0.7200
Tl 0.1818 0.1818 0.2549
Tl 0.8182 0.8182 0.7451
Pt 0.5000 0.5000 0.5000

Energy of formation from the pure elements   -0.328 eV per atom
Spin magnetization   0.00 μB per cell
Polymorph energy (0 for the lowest one)   0.0 kJ/mol of formula units
Space group   No. 12

The following is a DFT calculation (PBE-GGA) of a relaxed structure of Nd4Sm2Sc.

a b c (Å): 6.2375 8.0728 9.5370
angles (deg): 89.69 89.83 75.03
Fractional positions:
Nd 0.0000 0.0000 0.0000
Nd 0.0014 0.4971 0.5054
Nd 0.2904 0.1310 0.2912
Nd 0.4289 0.2135 0.9299
Nd 0.5775 0.2864 0.5764
Nd 0.7124 0.8453 0.7164
Nd 0.7168 0.3563 0.2161
Nd 0.8609 0.9184 0.3615
Sm 0.1455 0.0649 0.6460
Sm 0.1452 0.5669 0.1455
Sm 0.2895 0.6354 0.7882
Sm 0.5730 0.7769 0.0746
Sc 0.4302 0.7080 0.4313
Sc 0.8598 0.4255 0.8610

Energy of formation from the pure elements   0.034 eV per atom
Spin magnetization   0.00 μB per cell
Polymorph energy (0 for the lowest one)   0.0 kJ/mol of formula units
Space group   No. 1

The following is a DFT calculation (PBE-GGA) of a relaxed structure of Ca2TcSb.

a b c (Å): 4.4160 6.0689 6.0689
angles (deg): 42.29 90.00 90.00
Fractional positions:
Ca 0.0000 0.0000 0.0000
Ca 0.5000 0.2906 0.2906
Tc 0.0000 0.7076 0.7076
Sb 0.5000 0.5838 0.5838

Raw formation energy   -69 meV per atom
Spin magnetization   0.48 μB per cell
Space group   No. 38